Entry 1:
Compound: Os2PdSe6
Source: OQMD
Functional: PBE
Structure: relaxed

space group	C2/m

Cell: 6.5745 6.5745 10.2021 Å, 118.30 118.30 31.35°
Sites, in units of the cell vectors:
Os1 0.6759 0.6759 0.2876
Os2 0.3241 0.3241 0.7124
Pd1 0.0000 0.0000 0.0000
Se1 0.2255 0.2255 0.1436
Se2 0.0247 0.0247 0.2555
Se3 0.3313 0.3313 0.4549
Se4 0.6687 0.6687 0.5451
Se5 0.9753 0.9753 0.7445
Se6 0.7745 0.7745 0.8564


Entry 2:
Compound: SiOsPd
Source: OQMD
Functional: PBE
Structure: relaxed

space group	F-43m

Cell: 4.0110 4.0110 4.0110 Å, 60.00 60.00 60.00°
Sites, in units of the cell vectors:
Os1 0.2500 0.2500 0.2500
Pd1 0.7500 0.7500 0.7500
Si1 0.0000 0.0000 0.0000


Entry 3:
Compound: SmSi2OsPd
Source: OQMD
Functional: PBE
Structure: relaxed

space group	I-4m2

Cell: 5.8591 5.8591 5.8591 Å, 138.95 138.95 59.45°
Sites, in units of the cell vectors:
Os1 0.7500 0.2500 0.5000
Pd1 0.2500 0.7500 0.5000
Si1 0.1215 0.1215 0.0000
Si2 0.8785 0.8785 0.0000
Sm1 0.5000 0.5000 0.0000


Entry 4:
Compound: SrSi2OsPd
Source: OQMD
Functional: PBE
Structure: relaxed

space group	I-4m2

Cell: 5.9900 5.9900 5.9900 Å, 139.23 139.23 59.02°
Sites, in units of the cell vectors:
Os1 0.5000 0.5000 0.0000
Pd1 0.0000 0.0000 0.0000
Si1 0.6213 0.1213 0.5000
Si2 0.8787 0.3787 0.5000
Sr1 0.2500 0.7500 0.5000


Let's list total DFT energy (no corrections) in order: -5.4029 -7.4805 -7.1981 -6.3964 eV/atom.